(1)
A plane-wave DFT calculation with PBE was carried out for an optimized crystal structure of CoPPt3.

Computed properties:
- energy (eV per cell) = -28.49
- E above lowest polymorph (eV per formula unit) = 0.00

abc: 4.469 4.469 4.469
angles: 90.00 90.00 90.00
Atoms (fractional coordinates):
P 0.000 0.000 0.000
Co 0.500 0.500 0.500
Pt 0.000 0.500 0.000
Pt 0.000 0.000 0.500
Pt 0.500 0.000 0.000



(2)
A plane-wave DFT calculation with PBE was carried out for an optimized crystal structure of Th8Co3RhSe4.

Computed properties:
- energy (eV per cell) = -118.09
- formation energy without anion corrections (eV per atom) = -1.008

abc: 8.086 8.668 8.087
angles: 117.81 120.00 90.00
Atoms (fractional coordinates):
Th 0.241 0.712 0.971
Th 0.241 0.712 0.482
Th 0.264 0.292 0.528
Th 0.730 0.712 0.971
Th 0.270 0.288 0.029
Th 0.736 0.708 0.472
Th 0.759 0.288 0.518
Th 0.759 0.288 0.029
Co 0.500 0.500 0.000
Co 0.500 0.500 0.500
Co 0.000 0.500 0.500
Rh 0.000 0.500 0.000
Se 0.500 0.000 0.000
Se 0.500 0.000 0.500
Se 0.000 0.000 0.000
Se 0.000 0.000 0.500



(3)
A plane-wave DFT calculation with PBE was carried out for an optimized crystal structure of Zn4CdAu.

Computed properties:
- energy (eV per cell) = -9.46
- E above lowest polymorph (eV per formula unit) = 0.11

abc: 5.167 5.167 5.167
angles: 60.00 60.00 60.00
Atoms (fractional coordinates):
Au 0.250 0.250 0.250
Cd 0.000 0.000 0.000
Zn 0.126 0.625 0.625
Zn 0.625 0.625 0.625
Zn 0.625 0.126 0.625
Zn 0.625 0.625 0.126



(4)
A plane-wave DFT calculation with PBE was carried out for an optimized crystal structure of CeEuAl2.

Computed properties:
- energy (eV per cell) = -24.49
- E above lowest polymorph (eV per formula unit) = 0.07

abc: 4.429 4.742 4.742
angles: 90.00 90.00 90.00
Atoms (fractional coordinates):
Eu 0.500 0.500 0.500
Al 0.000 0.000 0.500
Al 0.000 0.500 0.000
Ce 0.500 0.000 0.000



(5)
A plane-wave DFT calculation with PBE was carried out for an optimized crystal structure of EuHoTlGe.

Computed properties:
- energy (eV per cell) = -23.52

abc: 5.312 5.312 5.312
angles: 60.00 60.00 60.00
Atoms (fractional coordinates):
Eu 0.000 0.000 0.000
Tl 0.750 0.750 0.750
Ge 0.250 0.250 0.250
Ho 0.500 0.500 0.500



(6)
A plane-wave DFT calculation with PBE was carried out for an optimized crystal structure of CdSnBrCl3.

Computed properties:
- energy (eV per cell) = -35.70
- formation energy without anion corrections (eV per atom) = -0.953

abc: 4.187 9.031 11.365
angles: 90.00 90.00 103.40
Atoms (fractional coordinates):
Cd 0.356 0.712 0.750
Cd 0.644 0.288 0.250
Sn 0.000 0.000 0.500
Sn 0.000 0.000 0.000
Br 0.238 0.476 0.250
Br 0.762 0.524 0.750
Cl 0.611 0.221 0.021
Cl 0.389 0.779 0.979
Cl 0.389 0.779 0.521
Cl 0.611 0.221 0.479
Cl 0.981 0.962 0.750
Cl 0.019 0.038 0.250



> Which of these has the lowest energy?

Th8Co3RhSe4



> What is the energy in the second record?

-118.09 eV per cell



Copy entry 1 word for word.
A plane-wave DFT calculation with PBE was carried out for an optimized crystal structure of CoPPt3.

Computed properties:
- energy (eV per cell) = -28.49
- E above lowest polymorph (eV per formula unit) = 0.00

abc: 4.469 4.469 4.469
angles: 90.00 90.00 90.00
Atoms (fractional coordinates):
P 0.000 0.000 0.000
Co 0.500 0.500 0.500
Pt 0.000 0.500 0.000
Pt 0.000 0.000 0.500
Pt 0.500 0.000 0.000



> The lowest energy belongs to which entry?

Th8Co3RhSe4